1.
The following is a PBE calculation of a relaxed NaAl2B2 crystal, from Alexandria via LeMat-Bulk.

The space group is I4/mmm (No. 139) and the conventional cell measures 3.789, 3.789 and 8.942 Å, with angles of 90.00, 90.00 and 90.00 degrees. Symmetry generates all atoms from Na at (0.000, 0.000, 0.000), Al at (0.000, 0.500, 0.250) and B at (0.000, 0.000, 0.402).

The value obtained for the volume is 12.84 Å³ per atom. As for the electronic total energy: -4.274 eV/atom. The calculation puts the calculated formation energy at 158 meV per atom. The calculation puts the energy above the most stable polymorph in this dataset at 0 meV per atom. For the spin magnetization, the calculation gives 0.0000 μB/atom. The density is 2.55 Mg/m³.

---

2.
The following is a PBE calculation of a relaxed NaAlB2 crystal, from Alexandria via LeMat-Bulk.

The space group is Fm-3m (No. 225) and the conventional cell measures 5.732, 5.732 and 5.732 Å, with angles of 90.00, 90.00 and 90.00 degrees. Symmetry generates all atoms from Na at (0.000, 0.000, 0.000), Al at (0.000, 0.000, 0.500) and B at (0.250, 0.250, 0.250).

The value obtained for the volume is 11.77 Å³ per atom. As for the electronic total energy: -3.501 eV/atom. The calculation puts the calculated formation energy at 1103 meV per atom. The calculation puts the energy above the most stable polymorph in this dataset at 292 meV per atom. For the spin magnetization, the calculation gives 0.0000 μB/atom. The density is 2.53 Mg/m³.

---

3.
The following is a PBE calculation of a relaxed NaAlB14 crystal, from Alexandria via LeMat-Bulk.

The space group is Imma (No. 74) and the conventional cell measures 5.849, 10.461 and 8.226 Å, with angles of 90.00, 90.00 and 90.00 degrees. Symmetry generates all atoms from Na at (0.000, 0.250, 0.153), Al at (0.250, 0.250, 0.750), B at (0.000, 0.085, 0.668), B at (0.000, 0.147, 0.875), B at (0.000, 0.166, 0.468), B at (0.160, 0.060, 0.337) and B at (0.250, 0.079, 0.544).

The value obtained for the volume is 7.86 Å³ per atom. As for the electronic total energy: -6.306 eV/atom. The calculation puts the calculated formation energy at -147 meV per atom. For the spin magnetization, the calculation gives 0.0000 μB/atom. The density is 2.66 Mg/m³.

---

4.
The following is a PBE calculation of a relaxed NaAlB2 crystal, from Alexandria via LeMat-Bulk.

The space group is I4_1/amd (No. 141, origin choice 2) and the conventional cell measures 4.053, 4.053 and 14.614 Å, with angles of 90.00, 90.00 and 90.00 degrees. Symmetry generates all atoms from Na at (0.000, 0.250, 0.375), Al at (0.000, 0.250, 0.875) and B at (0.000, 0.000, 0.000).

The value obtained for the volume is 15.00 Å³ per atom. As for the electronic total energy: -3.793 eV/atom. The calculation puts the calculated formation energy at 811 meV per atom. The calculation puts the energy above the most stable polymorph in this dataset at 0 meV per atom. For the spin magnetization, the calculation gives 0.0000 μB/atom. The density is 1.98 Mg/m³.

---

5.
The following is a PBE calculation of a relaxed Na2AlB crystal, from Alexandria via LeMat-Bulk.

The space group is I-42d (No. 122) and the conventional cell measures 10.720, 10.720 and 3.998 Å, with angles of 90.00, 90.00 and 90.00 degrees. Symmetry generates all atoms from Na at (0.006, 0.250, 0.125), Al at (0.000, 0.000, 0.500) and B at (0.000, 0.000, 0.000).

The value obtained for the volume is 28.71 Å³ per atom. As for the electronic total energy: -2.823 eV/atom. The calculation puts the calculated formation energy at 442 meV per atom. The calculation puts the energy above the most stable polymorph in this dataset at 0 meV per atom. For the spin magnetization, the calculation gives 0.0000 μB/atom. The density is 1.21 Mg/m³.

---

6.
The following is a PBE calculation of a relaxed Na2AlB crystal, from Alexandria via LeMat-Bulk.

The space group is Fm-3m (No. 225) and the conventional cell measures 6.750, 6.750 and 6.750 Å, with angles of 90.00, 90.00 and 90.00 degrees. Symmetry generates all atoms from Na at (0.250, 0.250, 0.250), Al at (0.000, 0.000, 0.000) and B at (0.000, 0.000, 0.500).

The value obtained for the volume is 19.22 Å³ per atom. As for the electronic total energy: -2.236 eV/atom. The calculation puts the calculated formation energy at 1028 meV per atom. The calculation puts the energy above the most stable polymorph in this dataset at 586 meV per atom. For the spin magnetization, the calculation gives 0.0000 μB/atom. The density is 1.81 Mg/m³.